# 1
Compound: CsSm2PaS5
Source: Alexandria via LeMat-Bulk
Functional: PBE
Structure: relaxed Values from VASP.

Its formation energy from raw total energies is -1.72 eV/atom. The symmetry is No. 71.

```
&SYSTEM
  ibrav = 0, nat = 9, ntyp = 4
/
ATOMIC_SPECIES
S 32.06 S.upf
Pa 231.04 Pa.upf
Sm 150.36 Sm.upf
Cs 132.91 Cs.upf
ATOMIC_POSITIONS angstrom
S 0.0000 -1.9603 4.7296
S 0.0000 0.0000 0.0000
S 2.5484 5.6298 2.0805
S 2.5484 1.7093 2.0805
S 0.0000 1.9603 4.7296
Pa 2.5484 0.0000 0.0000
Sm 0.0000 0.0000 2.7838
Sm 2.5484 3.6695 4.0263
Cs 0.0000 3.6696 0.0000
CELL_PARAMETERS angstrom
5.0968 0.0000 0.0000
0.0000 7.3391 0.0000
-2.5484 -3.6696 6.8101
```

# 2
Compound: BeHg2Cl
Source: Alexandria via LeMat-Bulk
Functional: PBE
Structure: relaxed Values from VASP.

Its formation energy from raw total energies is 0.40 eV/atom. The value obtained for the energy above the lowest structure with this stoichiometry is 13.863 kcal/mol of atoms. The symmetry is No. 119.

```
&SYSTEM
  ibrav = 0, nat = 4, ntyp = 3
/
ATOMIC_SPECIES
Cl 35.45 Cl.upf
Hg 200.59 Hg.upf
Be 9.01 Be.upf
ATOMIC_POSITIONS angstrom
Cl -2.2738 1.2392 2.5655
Hg -1.2557 -1.2475 3.1866
Hg 0.0000 0.0000 0.0000
Be -4.8738 -1.0954 3.6034
CELL_PARAMETERS angstrom
-5.8919 1.3913 2.9823
-3.8557 -3.5821 4.2245
6.2181 2.1825 -1.4547
```

# 3
Compound: RhN3F
Source: Alexandria via LeMat-Bulk
Functional: PBE
Structure: relaxed Values from VASP.

Its formation energy from raw total energies is 1.65 eV/atom. The symmetry is No. 221.

```
&SYSTEM
  ibrav = 0, nat = 5, ntyp = 3
/
ATOMIC_SPECIES
N 14.01 N.upf
F 19.00 F.upf
Rh 102.91 Rh.upf
ATOMIC_POSITIONS angstrom
N -1.8752 -0.3329 0.3310
N -0.4451 1.6937 -0.8184
N 0.1491 0.8701 1.7197
F -2.1712 2.2310 1.2323
Rh 0.0000 0.0000 0.0000
CELL_PARAMETERS angstrom
-0.8902 3.3874 -1.6368
-3.7503 -0.6657 0.6620
0.2982 1.7402 3.4393
```

# 4
Compound: ThAl11Rh
Source: Alexandria via LeMat-Bulk
Functional: PBE
Structure: relaxed Values from VASP.

For the energy of formation from the pure elements, the calculation gives -301.0 meV per atom. The symmetry is No. 12.

```
&SYSTEM
  ibrav = 0, nat = 13, ntyp = 3
/
ATOMIC_SPECIES
Al 26.98 Al.upf
Rh 102.91 Rh.upf
Th 232.04 Th.upf
ATOMIC_POSITIONS angstrom
Al 3.2113 4.3375 5.7794
Al 1.5288 4.3533 3.0308
Al 1.8873 1.5330 2.2784
Al 5.2501 5.2174 7.5305
Al 5.6087 2.3971 6.7782
Al 2.4010 -0.0237 4.4180
Al 1.1678 3.3990 0.4865
Al 2.9297 1.5172 6.5638
Al 4.2077 5.2332 3.2451
Al -0.0085 -0.0079 3.4141
Al 3.9261 2.4130 4.0295
Rh 3.5772 3.3831 1.4903
Th 0.0000 0.0000 0.0000
CELL_PARAMETERS angstrom
4.8190 -0.0317 2.0077
2.3355 6.7980 0.9730
-0.0171 -0.0158 6.8283
```

# 5
Compound: La2TlN
Source: Alexandria via LeMat-Bulk
Functional: PBE
Structure: relaxed Values from VASP.

Its formation energy from raw total energies is -0.79 eV/atom. The symmetry is No. 122.

```
&SYSTEM
  ibrav = 0, nat = 8, ntyp = 3
/
ATOMIC_SPECIES
La 138.91 La.upf
N 14.01 N.upf
Tl 204.38 Tl.upf
ATOMIC_POSITIONS angstrom
La 5.4569 6.2211 3.2885
La 4.6926 1.8190 1.0962
La 2.5832 5.4569 1.0962
La 9.0948 8.3306 3.2885
N 3.6379 7.2758 2.1923
N 3.6379 3.6379 0.0000
Tl 0.0000 0.0000 0.0000
Tl 7.2758 3.6379 2.1923
CELL_PARAMETERS angstrom
7.2758 0.0000 0.0000
0.0000 7.2758 0.0000
3.6379 3.6379 4.3846
```

# 6
Compound: AcAl3Ni2
Source: Alexandria via LeMat-Bulk
Functional: PBE
Structure: relaxed Values from VASP.

For the energy of formation from the pure elements, the calculation gives -574.4 meV per atom. The symmetry is No. 63.

```
&SYSTEM
  ibrav = 0, nat = 12, ntyp = 3
/
ATOMIC_SPECIES
Ni 58.69 Ni.upf
Ac 227.00 Ac.upf
Al 26.98 Al.upf
ATOMIC_POSITIONS angstrom
Ni -5.1785 -1.0682 -2.0879
Ni -3.1476 -3.1886 3.4990
Ni -2.6439 -0.7467 4.2427
Ni -4.6748 1.3737 -1.3443
Ac -2.7870 -1.0038 0.6322
Ac -5.5391 -3.2531 0.7789
Al -1.2364 -3.6217 -0.9251
Al -6.2107 -0.0687 -0.1193
Al -3.4547 -2.7899 -2.1539
Al -4.8715 -1.4670 3.5650
Al -2.1154 -4.1882 1.5303
Al -7.0897 -0.6351 2.3362
CELL_PARAMETERS angstrom
-1.0074 -4.8839 -1.4873
-1.9825 -1.4372 6.0620
-5.3361 2.0642 -3.1635
```

# 7
Compound: HfBiSe3
Source: Alexandria via LeMat-Bulk
Functional: PBE
Structure: relaxed Values from VASP.

Its formation energy from raw total energies is -0.42 eV/atom. The value obtained for the energy above the lowest structure with this stoichiometry is 0.000 kcal/mol of atoms. The symmetry is No. 221.

```
&SYSTEM
  ibrav = 0, nat = 5, ntyp = 3
/
ATOMIC_SPECIES
Se 78.96 Se.upf
Bi 208.98 Bi.upf
Hf 178.49 Hf.upf
ATOMIC_POSITIONS angstrom
Se -1.0986 1.8501 1.4343
Se -1.8870 -1.6375 0.6669
Se 1.3854 -0.7633 2.0457
Bi -1.6002 -0.5507 4.1469
Hf 0.0000 0.0000 0.0000
CELL_PARAMETERS angstrom
-3.7740 -3.2750 1.3338
2.7708 -1.5266 4.0915
-2.1972 3.7002 2.8685
```

# 8
Compound: NiPd3W
Source: Alexandria via LeMat-Bulk
Functional: PBE
Structure: relaxed Values from VASP.

For the energy of formation from the pure elements, the calculation gives 1475.9 meV per atom. The symmetry is No. 221.

```
&SYSTEM
  ibrav = 0, nat = 5, ntyp = 3
/
ATOMIC_SPECIES
Pd 106.42 Pd.upf
W 183.84 W.upf
Ni 58.69 Ni.upf
ATOMIC_POSITIONS angstrom
Pd 1.6879 -1.4877 -0.7946
Pd -1.6366 -1.1730 -1.2804
Pd -0.4077 -1.4507 1.8502
W 0.0000 0.0000 0.0000
Ni -0.3563 -4.1115 -0.2247
CELL_PARAMETERS angstrom
-0.8153 -2.9014 3.7004
-3.2733 -2.3461 -2.5607
3.3759 -2.9755 -1.5892
```

no.,DOS at the Fermi energy (states/eV per cell)
1,3.79
2,1.52
3,4.02
4,6.65
5,0.04
6,4.94
7,4.80
8,5.80